--- i ---
DFT (GGA-PBE) results for an optimized crystal structure of MnCuS2Cl.

POSCAR file:
```
MnCuS2Cl
1.0
-0.7105 0.7283 -4.4581
-3.9576 -2.2761 0.2588
-2.2081 3.9527 0.9977
Cl Mn S Cu
1 1 2 1
direct
0.0000 0.0000 0.5000 Cl
0.5000 0.5000 0.5000 Mn
0.0000 0.5000 0.0000 S
0.5000 0.0000 0.0000 S
0.0000 0.0000 0.0000 Cu
```

--- ii ---
DFT (GGA-PBE) results for an optimized crystal structure of MnCuS2Cl.

POSCAR file:
```
MnCuS2Cl
1.0
-2.4470 -3.7044 1.0591
3.8430 -2.2574 0.9836
-0.2863 1.4800 4.5153
S Mn Cl Cu
2 1 1 1
direct
0.0000 0.5000 0.0000 S
0.5000 0.0000 0.0000 S
0.0000 0.0000 0.0000 Mn
0.0000 0.0000 0.5000 Cl
0.5000 0.5000 0.5000 Cu
```

Short version: i is the least stable of them.

--- i ---
DFT (GGA-PBE) results for an optimized crystal structure of Cu2MoCl.

POSCAR file:
```
Cu2MoCl
1.0
2.8264 0.0000 0.0000
0.0000 2.8264 0.0000
0.0000 0.0000 7.4740
Mo Cl Cu
1 1 2
direct
0.5000 0.5000 0.2500 Mo
0.5000 0.5000 0.7500 Cl
0.0000 0.0000 0.5001 Cu
0.0000 0.0000 0.9999 Cu
```

--- ii ---
DFT (GGA-PBE) results for an optimized crystal structure of Cu2MoCl.

POSCAR file:
```
Cu2MoCl
1.0
4.4685 -0.0052 0.0298
3.5991 2.6484 0.0298
0.8887 0.2912 4.9404
Cl Cu Mo
1 2 1
direct
0.2446 0.2446 0.3008 Cl
0.0071 0.0071 0.9514 Cu
0.7507 0.7507 0.7790 Cu
0.4976 0.4976 0.4688 Mo
```

--- iii ---
DFT (GGA-PBE) results for an optimized crystal structure of Cu2MoCl.

POSCAR file:
```
Cu2MoCl
1.0
-0.1388 -5.4128 -1.1540
1.8096 -5.1634 0.8451
-2.4892 -2.2313 2.7045
Cu Mo Cl
2 1 1
direct
0.4909 0.4909 0.5090 Cu
0.0091 0.0091 0.9910 Cu
0.7500 0.7500 0.7500 Mo
0.2500 0.2500 0.2500 Cl
```

Short version: iii is the least stable of them.